VASP calculation (PBE) on crystalline MnSiAu2 at its relaxed geometry.

abc: 12.376 2.792 3.997
angles: 90.00 95.54 90.00
Space group C2/m (No. 12)
Symmetry-distinct sites (fractional):
Mn (0.000, 0.000, 0.000) x2
Si (0.000, 0.500, 0.500) x2
Au (0.184, 0.500, 0.235) x4

Computed properties:
As for the mass density: 11.53 Mg/m³. The value obtained for the total magnetic moment is 2.60 μB/f.u.


VASP calculation (PBE) on crystalline MnTl2SiAu at its relaxed geometry.

abc: 5.677 5.677 4.665
angles: 90.00 90.00 90.00
Space group P4/mmm (No. 123)
Symmetry-distinct sites (fractional):
Mn (0.000, 0.000, 0.000) x1
Tl (0.000, 0.500, 0.500) x2
Si (0.500, 0.500, 0.000) x1
Au (0.500, 0.500, 0.500) x1

Computed properties:
As for the mass density: 7.61 Mg/m³. The value obtained for the total magnetic moment is 4.28 μB/f.u.


| no. | formation energy (no corrections) (meV/atom) |
| --- | --- |
| 1 | 45 |
| 2 | 787 |